[1]
Rb3Tl8Sb3: relaxed, PBE.

```
Rb3Tl8Sb3
1.0
9.752 -2.779 0.000
9.752 2.779 0.000
-6.575 0.000 9.283
Rb Tl Sb
3 8 3
direct
0.000 0.000 0.000 Rb
0.299 0.299 0.310 Rb
0.701 0.701 0.690 Rb
0.137 0.137 0.849 Tl
0.152 0.152 0.435 Tl
0.328 0.328 0.969 Tl
0.499 0.499 0.317 Tl
0.501 0.501 0.683 Tl
0.672 0.672 0.031 Tl
0.848 0.848 0.565 Tl
0.863 0.863 0.151 Tl
0.000 0.000 0.500 Sb
0.349 0.349 0.716 Sb
0.651 0.651 0.284 Sb
```

Raw formation energy   -153 meV per atom
Energy   -2.596 eV/atom
Total magnetic moment   0.00 μB/f.u.
Space group   C2/m (12)



[2]
Er4TmTl: relaxed, PBE.

```
Er4TmTl
1.0
3.545 0.000 0.000
0.000 3.545 0.000
0.000 0.000 14.057
Er Tm Tl
4 1 1
direct
0.000 0.000 0.151 Er
0.000 0.000 0.849 Er
0.500 0.500 0.326 Er
0.500 0.500 0.674 Er
0.000 0.000 0.500 Tm
0.500 0.500 0.000 Tl
```

Energy   -4.284 eV/atom
ΔE_f   -59.1 kJ/mol of formula units
Total magnetic moment   0.00 μB/f.u.
Space group   P4/mmm (123)



[3]
BaGa2AgSn: relaxed, PBE.

```
BaGa2AgSn
1.0
4.641 0.000 0.000
0.000 4.747 0.000
0.000 0.000 11.606
Ba Ga Ag Sn
2 4 2 2
direct
0.000 0.000 0.000 Ba
0.500 0.500 0.500 Ba
0.000 0.000 0.392 Ga
0.000 0.500 0.251 Ga
0.500 0.000 0.751 Ga
0.500 0.500 0.892 Ga
0.000 0.000 0.620 Ag
0.500 0.500 0.120 Ag
0.000 0.500 0.751 Sn
0.500 0.000 0.251 Sn
```

Energy   -3.361 eV/atom
ΔE_f   -190.3 kJ/mol of formula units
Total magnetic moment   0.00 μB/f.u.
Space group   Imm2 (44)



Please write out number 3 again, unchanged.
BaGa2AgSn: relaxed, PBE.

```
BaGa2AgSn
1.0
4.641 0.000 0.000
0.000 4.747 0.000
0.000 0.000 11.606
Ba Ga Ag Sn
2 4 2 2
direct
0.000 0.000 0.000 Ba
0.500 0.500 0.500 Ba
0.000 0.000 0.392 Ga
0.000 0.500 0.251 Ga
0.500 0.000 0.751 Ga
0.500 0.500 0.892 Ga
0.000 0.000 0.620 Ag
0.500 0.500 0.120 Ag
0.000 0.500 0.751 Sn
0.500 0.000 0.251 Sn
```

Energy   -3.361 eV/atom
ΔE_f   -190.3 kJ/mol of formula units
Total magnetic moment   0.00 μB/f.u.
Space group   Imm2 (44)



- What is the total magnetic moment in the second record?
  0.00 μB/f.u.



- What is the formula in the third record?
  BaGa2AgSn